1.
DFT (GGA-PBE) results for an optimized crystal structure of ScTeMo2.

```
ScTeMo2
1.0
-1.983 1.983 10.251
1.983 -1.983 10.251
1.983 1.983 -10.251
Sc Te Mo
2 2 4
direct
0.000 0.000 0.000
0.750 0.250 0.500
0.250 0.750 0.500
0.500 0.500 0.000
0.166 0.625 0.041
0.375 0.416 0.541
0.584 0.125 0.959
0.875 0.834 0.459
```

2.
DFT (GGA-PBE) results for an optimized crystal structure of Sc2TeMo.

```
Sc2TeMo
1.0
3.594 0.000 0.000
0.000 3.594 0.000
0.000 0.000 6.344
Sc Te Mo
2 1 1
direct
0.000 0.000 0.000
0.500 0.500 0.281
0.000 0.000 0.528
0.500 0.500 0.741
```

Number 1: total magnetization 0.00 μB/f.u., E_tot -59.5 eV for the cell shown, formation energy from raw total energies 1.37 eV/f.u.. Number 2: total magnetization 0.87 μB/f.u., E_tot -27.0 eV for the cell shown, formation energy from raw total energies -0.32 eV/f.u..